Entry 1:
9
Lattice="5.664 1.514 6.358 -7.583 -3.763 1.769 1.229 -2.690 -0.454" Properties=species:S:1:pos:R:3 comment="Zr2Ta | the Alexandria database | PBE-GGA | optimized geometry" final_energy_ev_per_cell=-85.26 pbc="T T T"
Zr -2.424 -1.203 0.566
Ta -3.167 -2.004 3.299
Ta 1.248 -0.245 4.828
Zr 4.296 -0.361 3.905
Zr -4.314 -3.791 0.923
Ta 0.615 -1.345 -0.227
Zr -0.057 -2.132 2.618
Zr -1.306 -1.530 5.530
Zr 1.810 0.484 2.032


Entry 2:
8
Lattice="-4.543 1.628 1.648 1.683 -0.150 4.790 4.799 9.354 3.990" Properties=species:S:1:pos:R:3 comment="PmSm2Dy4Th | the Alexandria database | PBE-GGA | optimized geometry" final_energy_ev_per_cell=-39.79 pbc="T T T"
Dy 1.734 7.747 5.019
Th 3.241 4.602 4.390
Dy 0.205 3.086 5.408
Pm -1.430 0.739 3.219
Dy -2.909 3.972 3.838
Dy 4.848 6.861 6.588
Sm 4.799 9.354 3.990
Sm 0.128 5.491 2.819


Entry 3:
11
Lattice="-1.392 0.089 -3.614 -1.136 -7.088 0.263 -5.153 4.543 2.096" Properties=species:S:1:pos:R:3 comment="USi4Pd6 | the Alexandria database | PBE-GGA | optimized geometry" formation_energy_uncorrected_mev_per_atom=-617 pbc="T T T"
Pd -5.051 2.278 -0.075
Pd -2.968 0.441 -0.922
Pd -3.457 -4.484 1.221
Pd -0.962 -3.475 0.285
Si -2.604 -4.807 -1.191
U 0.000 0.000 0.000
Si -2.123 -1.807 -1.303
Pd -3.006 -1.673 1.116
Si -4.786 -2.884 -0.304
Si -3.814 0.666 1.485
Pd -5.511 -0.587 0.031


Table of total magnetic moment (μB per atom), in record order: 0.000, 0.000, 0.286